Record 1
! Mg2BeW (PBE-GGA, relaxed); values from VASP
! VASP energy ... -4.38 eV per atom
! DFT formation energy ... 57.1 kJ/mol of atoms
&SYSTEM
  ibrav = 0, nat = 4, ntyp = 3
/
ATOMIC_SPECIES
Be 9.01 Be.upf
Mg 24.30 Mg.upf
W 183.84 W.upf
ATOMIC_POSITIONS angstrom
Be 1.388 2.155 4.037
Mg 0.000 0.000 0.005
Mg 0.000 0.000 2.686
W 1.388 2.155 1.346
CELL_PARAMETERS angstrom
2.775 0.000 0.000
0.000 4.309 0.000
0.000 0.000 5.382

Record 2
! Mg2BeW (PBE-GGA, relaxed); values from VASP
! VASP energy ... -4.48 eV per atom
! DFT formation energy ... 47.3 kJ/mol of atoms
&SYSTEM
  ibrav = 0, nat = 4, ntyp = 3
/
ATOMIC_SPECIES
Be 9.01 Be.upf
Mg 24.30 Mg.upf
W 183.84 W.upf
ATOMIC_POSITIONS angstrom
Be 2.075 0.000 1.921
Mg 0.000 0.000 0.000
Mg 0.000 1.921 1.921
W 2.075 1.921 0.000
CELL_PARAMETERS angstrom
4.150 0.000 0.000
0.000 3.842 0.000
0.000 0.000 3.842

Record 3
! MgBeW (PBE-GGA, relaxed); values from VASP
! VASP energy ... -5.73 eV per atom
! Excess energy over the best structure of this formula in the dataset ... 0.000 eV per atom
! DFT formation energy ... 34.5 kJ/mol of atoms
&SYSTEM
  ibrav = 0, nat = 3, ntyp = 3
/
ATOMIC_SPECIES
Be 9.01 Be.upf
Mg 24.30 Mg.upf
W 183.84 W.upf
ATOMIC_POSITIONS angstrom
Be -0.742 1.989 1.673
Mg -4.445 2.340 -0.151
W -7.899 2.667 -1.851
CELL_PARAMETERS angstrom
-5.453 2.607 -2.549
-6.319 0.427 -1.210
-0.657 1.981 1.715

Record 4
! YMg2Be (PBE-GGA, relaxed); values from VASP
! VASP energy ... -3.03 eV per atom
! DFT formation energy ... 29.9 kJ/mol of atoms
&SYSTEM
  ibrav = 0, nat = 4, ntyp = 3
/
ATOMIC_SPECIES
Y 88.91 Y.upf
Be 9.01 Be.upf
Mg 24.30 Mg.upf
ATOMIC_POSITIONS angstrom
Y -0.460 -1.612 3.364
Be 0.251 -3.014 0.866
Mg 0.000 0.000 0.000
Mg -1.978 -2.122 -1.167
CELL_PARAMETERS angstrom
-1.267 -3.524 -3.665
1.769 -2.505 5.397
-2.689 -0.720 1.330

Record 5
! YMg2Be (PBE-GGA, relaxed); values from VASP
! VASP energy ... -2.99 eV per atom
! DFT formation energy ... 34.5 kJ/mol of atoms
&SYSTEM
  ibrav = 0, nat = 4, ntyp = 3
/
ATOMIC_SPECIES
Y 88.91 Y.upf
Be 9.01 Be.upf
Mg 24.30 Mg.upf
ATOMIC_POSITIONS angstrom
Y -4.549 1.880 5.241
Be -13.648 5.639 15.724
Mg -0.308 0.127 0.355
Mg -8.790 3.632 10.128
CELL_PARAMETERS angstrom
-7.455 2.697 5.714
-5.780 0.835 7.836
-4.962 3.986 7.416

Record 6
! YMg2Be (PBE-GGA, relaxed); values from VASP
! VASP energy ... -3.20 eV per atom
! DFT formation energy ... 13.7 kJ/mol of atoms
&SYSTEM
  ibrav = 0, nat = 4, ntyp = 3
/
ATOMIC_SPECIES
Y 88.91 Y.upf
Be 9.01 Be.upf
Mg 24.30 Mg.upf
ATOMIC_POSITIONS angstrom
Y -1.214 1.332 3.881
Be -3.592 2.872 4.774
Mg -1.960 -0.967 1.664
Mg -1.895 1.849 0.585
CELL_PARAMETERS angstrom
-2.857 2.674 -1.811
-2.415 -1.192 2.050
0.156 3.595 5.060

Record 7
! YMgBe2 (PBE-GGA, relaxed); values from VASP
! VASP energy ... -3.88 eV per atom
! DFT formation energy ... -0.1 kJ/mol of atoms
&SYSTEM
  ibrav = 0, nat = 16, ntyp = 3
/
ATOMIC_SPECIES
Y 88.91 Y.upf
Be 9.01 Be.upf
Mg 24.30 Mg.upf
ATOMIC_POSITIONS angstrom
Y 5.354 0.000 5.867
Y 2.077 0.000 4.323
Y 5.414 1.868 0.761
Y 2.017 1.868 9.429
Be 4.494 0.000 2.891
Be 2.937 0.000 7.299
Be 4.433 1.868 7.997
Be 2.998 1.868 2.193
Be 4.107 0.000 9.104
Be 3.324 0.000 1.086
Be 4.167 1.868 3.999
Be 3.264 1.868 6.191
Mg 6.749 0.000 8.728
Mg 0.682 0.000 1.462
Mg 6.810 1.868 3.622
Mg 0.622 1.868 6.568
CELL_PARAMETERS angstrom
7.552 0.000 -0.021
0.000 3.736 0.000
-0.121 0.000 10.211

Record 8
! YMg2Be (PBE-GGA, relaxed); values from VASP
! VASP energy ... -3.22 eV per atom
! DFT formation energy ... 11.8 kJ/mol of atoms
&SYSTEM
  ibrav = 0, nat = 4, ntyp = 3
/
ATOMIC_SPECIES
Y 88.91 Y.upf
Be 9.01 Be.upf
Mg 24.30 Mg.upf
ATOMIC_POSITIONS angstrom
Y -0.607 1.779 3.132
Be -1.131 -1.105 2.665
Mg -0.330 0.007 0.326
Mg -3.455 0.076 3.406
CELL_PARAMETERS angstrom
-3.262 2.967 4.199
-4.310 -2.800 3.265
5.834 0.507 -1.667

Record 9
! YMgBe2 (PBE-GGA, relaxed); values from VASP
! VASP energy ... -3.94 eV per atom
! DFT formation energy ... -6.4 kJ/mol of atoms
&SYSTEM
  ibrav = 0, nat = 8, ntyp = 3
/
ATOMIC_SPECIES
Y 88.91 Y.upf
Be 9.01 Be.upf
Mg 24.30 Mg.upf
ATOMIC_POSITIONS angstrom
Y 0.000 1.912 2.842
Y 1.912 0.000 7.001
Be 0.000 1.912 6.034
Be 1.912 0.000 3.809
Be 0.000 0.000 4.921
Be 1.912 1.912 4.921
Mg 0.000 1.912 9.028
Mg 1.912 0.000 0.815
CELL_PARAMETERS angstrom
3.823 0.000 0.000
0.000 3.823 0.000
0.000 0.000 9.843

Record 10
! YMgBe2 (PBE-GGA, relaxed); values from VASP
! VASP energy ... -3.89 eV per atom
! DFT formation energy ... -0.8 kJ/mol of atoms
&SYSTEM
  ibrav = 0, nat = 8, ntyp = 3
/
ATOMIC_SPECIES
Y 88.91 Y.upf
Be 9.01 Be.upf
Mg 24.30 Mg.upf
ATOMIC_POSITIONS angstrom
Y 0.414 -1.648 6.458
Y 0.083 -0.186 1.934
Be -1.657 -1.173 4.252
Be 0.414 -2.279 3.646
Be 0.082 0.444 4.745
Be -1.476 -2.898 2.556
Mg -1.272 -3.859 5.087
Mg -2.043 1.513 3.418
CELL_PARAMETERS angstrom
-0.362 3.450 3.392
-3.811 -0.512 0.113
0.858 -5.284 4.999

Record 11
! YMg2Be (PBE-GGA, relaxed); values from VASP
! VASP energy ... -3.17 eV per atom
! DFT formation energy ... 16.6 kJ/mol of atoms
&SYSTEM
  ibrav = 0, nat = 4, ntyp = 3
/
ATOMIC_SPECIES
Y 88.91 Y.upf
Be 9.01 Be.upf
Mg 24.30 Mg.upf
ATOMIC_POSITIONS angstrom
Y 1.734 -2.443 0.561
Be 4.652 -3.161 3.338
Mg 5.496 -1.352 5.230
Mg 3.258 -0.801 3.101
CELL_PARAMETERS angstrom
-1.285 -2.861 0.611
1.835 -1.308 -2.266
5.836 -1.435 5.554

Record 12
! Y2MgBe (PBE-GGA, relaxed); values from VASP
! VASP energy ... -4.36 eV per atom
! Excess energy over the best structure of this formula in the dataset ... 0.215 eV per atom
! DFT formation energy ... 19.0 kJ/mol of atoms
&SYSTEM
  ibrav = 0, nat = 4, ntyp = 3
/
ATOMIC_SPECIES
Y 88.91 Y.upf
Be 9.01 Be.upf
Mg 24.30 Mg.upf
ATOMIC_POSITIONS angstrom
Y 27.226 5.137 3.036
Y 14.179 2.675 1.581
Be 6.901 1.302 0.770
Mg 20.702 3.906 2.309
CELL_PARAMETERS angstrom
9.641 0.008 0.004
8.981 3.506 0.004
8.981 1.695 3.069